Version w
# LaMgZr3 PBE optimized geometry
# Total magnetization   0.000 μB per atom
data_LaMgZr3
_chemical_formula_sum 'La1 Mg1 Zr3'
_cell_length_a 5.230
_cell_length_b 5.230
_cell_length_c 5.230
_cell_angle_alpha 90.00
_cell_angle_beta 90.00
_cell_angle_gamma 90.00
_space_group_name_H-M_alt 'P m -3 m'
_space_group_IT_number 221
_space_group_name_Hall '-P 4 2 3'
loop_
_atom_site_label
_atom_site_fract_x
_atom_site_fract_y
_atom_site_fract_z
La1 0.000 0.000 0.000
Mg1 0.500 0.500 0.500
Zr1 0.000 0.500 0.500



Version x
# LaMgZr3 PBE optimized geometry
# Total magnetization   0.000 μB per atom
data_LaMgZr3
_chemical_formula_sum 'La1 Mg1 Zr3'
_cell_length_a 5.180
_cell_length_b 5.180
_cell_length_c 5.180
_cell_angle_alpha 90.00
_cell_angle_beta 90.00
_cell_angle_gamma 90.00
_space_group_name_H-M_alt 'P m -3 m'
_space_group_IT_number 221
_space_group_name_Hall '-P 4 2 3'
loop_
_atom_site_label
_atom_site_fract_x
_atom_site_fract_y
_atom_site_fract_z
La1 0.000 0.000 0.000
Mg1 0.500 0.500 0.500
Zr1 0.000 0.000 0.500



Which of them is the least stable? Correct choice: version x.



Version w
# La3Mn2 PBE optimized geometry
# Total magnetization   0.911 μB per atom
data_La3Mn2
_chemical_formula_sum 'La3 Mn2'
_cell_length_a 5.0723
_cell_length_b 5.0723
_cell_length_c 6.1968
_cell_angle_alpha 90.00
_cell_angle_beta 90.00
_cell_angle_gamma 120.00
_space_group_name_H-M_alt 'P -3 m 1'
_space_group_IT_number 164
_space_group_name_Hall '-P 3 2"'
loop_
_atom_site_label
_atom_site_fract_x
_atom_site_fract_y
_atom_site_fract_z
La1 0.0000 0.0000 0.0000
La2 0.3333 0.6667 0.3540
Mn1 0.3333 0.6667 0.8778



Version x
# La3Mn2 PBE optimized geometry
# Total magnetization   1.229 μB per atom
data_La3Mn2
_chemical_formula_sum 'La9 Mn6'
_cell_length_a 3.6374
_cell_length_b 3.6374
_cell_length_c 36.9755
_cell_angle_alpha 90.00
_cell_angle_beta 90.00
_cell_angle_gamma 120.00
_space_group_name_H-M_alt 'R -3 m'
_space_group_IT_number 166
_space_group_name_Hall '-R 3 2"'
loop_
_atom_site_label
_atom_site_fract_x
_atom_site_fract_y
_atom_site_fract_z
La1 0.0000 0.0000 0.0000
La2 0.0000 0.0000 0.2108
Mn1 0.0000 0.0000 0.3952



Which of them is the least stable? Correct choice: version x.



Version w
# LaMnMo3 PBE optimized geometry
# Total magnetization   0.379 μB per atom
data_LaMnMo3
_chemical_formula_sum 'La1 Mn1 Mo3'
_cell_length_a 4.643
_cell_length_b 4.643
_cell_length_c 4.643
_cell_angle_alpha 90.00
_cell_angle_beta 90.00
_cell_angle_gamma 90.00
_space_group_name_H-M_alt 'P m -3 m'
_space_group_IT_number 221
_space_group_name_Hall '-P 4 2 3'
loop_
_atom_site_label
_atom_site_fract_x
_atom_site_fract_y
_atom_site_fract_z
La1 0.000 0.000 0.000
Mn1 0.500 0.500 0.500
Mo1 0.000 0.500 0.500



Version x
# LaMnMo3 PBE optimized geometry
# Total magnetization   0.008 μB per atom
data_LaMnMo3
_chemical_formula_sum 'La1 Mn1 Mo3'
_cell_length_a 4.715
_cell_length_b 4.715
_cell_length_c 4.715
_cell_angle_alpha 90.00
_cell_angle_beta 90.00
_cell_angle_gamma 90.00
_space_group_name_H-M_alt 'P m -3 m'
_space_group_IT_number 221
_space_group_name_Hall '-P 4 2 3'
loop_
_atom_site_label
_atom_site_fract_x
_atom_site_fract_y
_atom_site_fract_z
La1 0.000 0.000 0.000
Mn1 0.500 0.500 0.500
Mo1 0.000 0.000 0.500



Which of them is the least stable? Correct choice: version x.



Version w
# LaMn2Mo PBE optimized geometry
# Total magnetization   1.541 μB per atom
data_LaMn2Mo
_chemical_formula_sum 'La2 Mn4 Mo2'
_cell_length_a 5.764
_cell_length_b 7.811
_cell_length_c 3.251
_cell_angle_alpha 90.00
_cell_angle_beta 90.14
_cell_angle_gamma 90.00
_space_group_name_H-M_alt 'C 1 2/m 1'
_space_group_IT_number 12
loop_
_space_group_symop_operation_xyz
'x,y,z'
'-x,-y,-z'
'-x,y,-z'
'x,-y,z'
'x+1/2,y+1/2,z'
'-x+1/2,-y+1/2,-z'
'-x+1/2,y+1/2,-z'
'x+1/2,-y+1/2,z'
loop_
_atom_site_label
_atom_site_fract_x
_atom_site_fract_y
_atom_site_fract_z
La1 0.000 0.000 0.000
Mn1 0.250 0.250 0.500
Mo1 0.000 0.500 0.000



Version x
# LaMn2Mo PBE optimized geometry
# Total magnetization   1.012 μB per atom
data_LaMn2Mo
_chemical_formula_sum 'La1 Mn2 Mo1'
_cell_length_a 3.075
_cell_length_b 3.078
_cell_length_c 7.663
_cell_angle_alpha 90.00
_cell_angle_beta 90.07
_cell_angle_gamma 90.00
_space_group_name_H-M_alt 'P 1 m 1'
_space_group_IT_number 6
loop_
_space_group_symop_operation_xyz
'x,y,z'
'x,-y,z'
loop_
_atom_site_label
_atom_site_fract_x
_atom_site_fract_y
_atom_site_fract_z
La1 0.000 0.000 0.000
Mn1 0.000 0.000 0.480
Mn2 0.499 0.500 0.675
Mo1 0.500 0.500 0.315



Which of them is the least stable? Correct choice: version w.



Version w
# LaMn2Mo PBE optimized geometry
# Total magnetization   0.406 μB per atom
data_LaMn2Mo
_chemical_formula_sum 'La3 Mn6 Mo3'
_cell_length_a 3.0605
_cell_length_b 3.0605
_cell_length_c 27.4283
_cell_angle_alpha 90.00
_cell_angle_beta 90.00
_cell_angle_gamma 120.00
_space_group_name_H-M_alt 'R 3 m'
_space_group_IT_number 160
_space_group_name_Hall 'R 3 -2"'
loop_
_atom_site_label
_atom_site_fract_x
_atom_site_fract_y
_atom_site_fract_z
La1 0.0000 0.0000 0.0000
Mn1 0.0000 0.0000 0.5030
Mn2 0.0000 0.0000 0.7692
Mo1 0.0000 0.0000 0.2339



Version x
# LaMn2Mo PBE optimized geometry
# Total magnetization   0.196 μB per atom
data_LaMn2Mo
_chemical_formula_sum 'La3 Mn6 Mo3'
_cell_length_a 4.0529
_cell_length_b 4.0529
_cell_length_c 16.7210
_cell_angle_alpha 90.00
_cell_angle_beta 90.00
_cell_angle_gamma 120.00
_space_group_name_H-M_alt 'R 3 m'
_space_group_IT_number 160
_space_group_name_Hall 'R 3 -2"'
loop_
_atom_site_label
_atom_site_fract_x
_atom_site_fract_y
_atom_site_fract_z
La1 0.0000 0.0000 0.0000
Mn1 0.0000 0.0000 0.1961
Mn2 0.0000 0.0000 0.5185
Mo1 0.0000 0.0000 0.8030



Version y
# LaMn2Mo PBE optimized geometry
# Total magnetization   0.313 μB per atom
data_LaMn2Mo
_chemical_formula_sum 'La2 Mn4 Mo2'
_cell_length_a 3.063
_cell_length_b 5.027
_cell_length_c 9.618
_cell_angle_alpha 90.00
_cell_angle_beta 90.00
_cell_angle_gamma 90.00
_space_group_name_H-M_alt 'I m m 2'
_space_group_IT_number 44
loop_
_space_group_symop_operation_xyz
'x,y,z'
'-x,-y,z'
'-x,y,z'
'x,-y,z'
'x+1/2,y+1/2,z+1/2'
'-x+1/2,-y+1/2,z+1/2'
'-x+1/2,y+1/2,z+1/2'
'x+1/2,-y+1/2,z+1/2'
loop_
_atom_site_label
_atom_site_fract_x
_atom_site_fract_y
_atom_site_fract_z
La1 0.000 0.000 0.000
Mn1 0.000 0.000 0.526
Mn2 0.000 0.500 0.789
Mo1 0.000 0.500 0.230



Version z
# LaMn2Mo PBE optimized geometry
# Total magnetization   0.821 μB per atom
data_LaMn2Mo
_chemical_formula_sum 'La3 Mn6 Mo3'
_cell_length_a 4.1898
_cell_length_b 4.1898
_cell_length_c 16.1288
_cell_angle_alpha 90.00
_cell_angle_beta 90.00
_cell_angle_gamma 120.00
_space_group_name_H-M_alt 'R -3 m'
_space_group_IT_number 166
_space_group_name_Hall '-R 3 2"'
loop_
_atom_site_label
_atom_site_fract_x
_atom_site_fract_y
_atom_site_fract_z
La1 0.0000 0.0000 0.0000
Mn1 0.0000 0.0000 0.1983
Mo1 0.0000 0.0000 0.5000



Which of them is the least stable? Correct choice: version w.



Version w
# LaMnRuN PBE optimized geometry
# Total magnetization   0.620 μB per atom
data_LaMnRuN
_chemical_formula_sum 'La1 Mn1 Ru1 N1'
_cell_length_a 3.856
_cell_length_b 4.760
_cell_length_c 4.060
_cell_angle_alpha 90.00
_cell_angle_beta 104.44
_cell_angle_gamma 90.00
_space_group_name_H-M_alt 'P 1 m 1'
_space_group_IT_number 6
loop_
_space_group_symop_operation_xyz
'x,y,z'
'x,-y,z'
loop_
_atom_site_label
_atom_site_fract_x
_atom_site_fract_y
_atom_site_fract_z
La1 0.000 0.000 0.000
Mn1 0.710 0.500 0.339
Ru1 0.305 0.500 0.747
N1 0.195 0.500 0.233



Version x
# LaMnRuN PBE optimized geometry
# Total magnetization   0.873 μB per atom
data_LaMnRuN
_chemical_formula_sum 'La2 Mn2 Ru2 N2'
_cell_length_a 8.832
_cell_length_b 3.956
_cell_length_c 4.530
_cell_angle_alpha 90.00
_cell_angle_beta 90.26
_cell_angle_gamma 90.00
_space_group_name_H-M_alt 'C 1 m 1'
_space_group_IT_number 8
loop_
_space_group_symop_operation_xyz
'x,y,z'
'x,-y,z'
'x+1/2,y+1/2,z'
'x+1/2,-y+1/2,z'
loop_
_atom_site_label
_atom_site_fract_x
_atom_site_fract_y
_atom_site_fract_z
La1 0.000 0.000 0.000
Mn1 0.165 0.500 0.501
Ru1 0.376 0.000 0.499
N1 0.374 0.500 0.499



Version y
# LaMnRuN PBE optimized geometry
# Total magnetization   0.747 μB per atom
data_LaMnRuN
_chemical_formula_sum 'La2 Mn2 Ru2 N2'
_cell_length_a 3.579
_cell_length_b 3.579
_cell_length_c 10.230
_cell_angle_alpha 90.00
_cell_angle_beta 90.00
_cell_angle_gamma 90.00
_space_group_name_H-M_alt 'I 4 m m'
_space_group_IT_number 107
_space_group_name_Hall 'I 4 -2'
loop_
_atom_site_label
_atom_site_fract_x
_atom_site_fract_y
_atom_site_fract_z
La1 0.000 0.000 0.000
Mn1 0.000 0.000 0.299
Ru1 0.000 0.000 0.693
N1 0.000 0.000 0.484



Which of them is the least stable? Correct choice: version x.



Version w
# LaMnRuN PBE optimized geometry
# Total magnetization   0.013 μB per atom
data_LaMnRuN
_chemical_formula_sum 'La1 Mn1 Ru1 N1'
_cell_length_a 3.125
_cell_length_b 4.217
_cell_length_c 5.612
_cell_angle_alpha 73.11
_cell_angle_beta 89.86
_cell_angle_gamma 68.36
_space_group_name_H-M_alt 'P 1'
_space_group_IT_number 1
loop_
_space_group_symop_operation_xyz
'x,y,z'
loop_
_atom_site_label
_atom_site_fract_x
_atom_site_fract_y
_atom_site_fract_z
La1 0.000 0.000 0.000
Mn1 0.360 0.274 0.407
Ru1 0.657 0.682 0.563
N1 0.752 0.493 0.257



Version x
# LaMnRuN PBE optimized geometry
# Total magnetization   0.305 μB per atom
data_LaMnRuN
_chemical_formula_sum 'La2 Mn2 Ru2 N2'
_cell_length_a 7.810
_cell_length_b 3.827
_cell_length_c 5.097
_cell_angle_alpha 90.00
_cell_angle_beta 98.12
_cell_angle_gamma 90.00
_space_group_name_H-M_alt 'C 1 m 1'
_space_group_IT_number 8
loop_
_space_group_symop_operation_xyz
'x,y,z'
'x,-y,z'
'x+1/2,y+1/2,z'
'x+1/2,-y+1/2,z'
loop_
_atom_site_label
_atom_site_fract_x
_atom_site_fract_y
_atom_site_fract_z
La1 0.000 0.000 0.000
Mn1 0.212 0.500 0.494
Ru1 0.375 0.000 0.471
N1 0.082 0.500 0.748



Version y
# LaMnRuN PBE optimized geometry
# Total magnetization   0.789 μB per atom
data_LaMnRuN
_chemical_formula_sum 'La2 Mn2 Ru2 N2'
_cell_length_a 8.255
_cell_length_b 3.345
_cell_length_c 5.273
_cell_angle_alpha 90.00
_cell_angle_beta 103.75
_cell_angle_gamma 90.00
_space_group_name_H-M_alt 'C 1 m 1'
_space_group_IT_number 8
loop_
_space_group_symop_operation_xyz
'x,y,z'
'x,-y,z'
'x+1/2,y+1/2,z'
'x+1/2,-y+1/2,z'
loop_
_atom_site_label
_atom_site_fract_x
_atom_site_fract_y
_atom_site_fract_z
La1 0.000 0.000 0.000
Mn1 0.359 0.000 0.475
Ru1 0.153 0.500 0.594
N1 0.269 0.000 0.779



Which of them is the least stable? Correct choice: version y.



Version w
# LaMnRuN PBE optimized geometry
# Total magnetization   0.000 μB per atom
data_LaMnRuN
_chemical_formula_sum 'La2 Mn2 Ru2 N2'
_cell_length_a 11.458
_cell_length_b 3.789
_cell_length_c 2.862
_cell_angle_alpha 90.00
_cell_angle_beta 96.67
_cell_angle_gamma 90.00
_space_group_name_H-M_alt 'C 1 m 1'
_space_group_IT_number 8
loop_
_space_group_symop_operation_xyz
'x,y,z'
'x,-y,z'
'x+1/2,y+1/2,z'
'x+1/2,-y+1/2,z'
loop_
_atom_site_label
_atom_site_fract_x
_atom_site_fract_y
_atom_site_fract_z
La1 0.000 0.000 0.000
Mn1 0.287 0.000 0.880
Ru1 0.209 0.500 0.484
N1 0.399 0.000 0.441



Version x
# LaMnRuN PBE optimized geometry
# Total magnetization   0.000 μB per atom
data_LaMnRuN
_chemical_formula_sum 'La1 Mn1 Ru1 N1'
_cell_length_a 3.9467
_cell_length_b 3.9467
_cell_length_c 5.4228
_cell_angle_alpha 90.00
_cell_angle_beta 90.00
_cell_angle_gamma 120.00
_space_group_name_H-M_alt 'P 3 m 1'
_space_group_IT_number 156
loop_
_space_group_symop_operation_xyz
'x,y,z'
'-y,x-y,z'
'-x+y,-x,z'
'-y,-x,z'
'-x+y,y,z'
'x,x-y,z'
loop_
_atom_site_label
_atom_site_fract_x
_atom_site_fract_y
_atom_site_fract_z
La1 0.0000 0.0000 0.0000
Mn1 0.3333 0.6667 0.5133
Ru1 0.6667 0.3333 0.4309
N1 0.3333 0.6667 0.8300



Which of them is the least stable? Correct choice: version w.